A plane-wave DFT calculation with PBE-GGA was carried out for a relaxed ZrAlAu2 crystal.

a b c (Å): 3.053 4.619 5.402
angles (deg): 90.00 90.00 90.00
Space group Pmm2 (No. 25)
Symmetry-distinct sites (fractional):
Zr 0.000 0.000 0.000
Al 0.500 0.500 0.721
Au 0.500 0.000 0.513
Au 0.500 0.500 0.208

A plane-wave DFT calculation with PBE-GGA was carried out for a relaxed Zr3Al7Au2 crystal.

a b c (Å): 5.3688 5.3688 25.4878
angles (deg): 90.00 90.00 120.00
Space group R-3m (No. 166, hexagonal axes)
Symmetry-distinct sites (fractional):
Zr 0.0000 0.0000 0.0000
Zr 0.0000 0.0000 0.1432
Al 0.0000 0.0000 0.5000
Al 0.0067 0.5034 0.9145
Au 0.0000 0.0000 0.3345

A plane-wave DFT calculation with PBE-GGA was carried out for a relaxed ZrAlAu2 crystal.

a b c (Å): 9.343 3.204 5.206
angles (deg): 90.00 104.33 90.00
Space group Cm (No. 8)
Symmetry-distinct sites (fractional):
Zr 0.000 0.000 0.000
Al 0.244 0.000 0.665
Au 0.014 0.500 0.516
Au 0.255 0.500 0.231

A plane-wave DFT calculation with PBE-GGA was carried out for a relaxed ZrAl2Au8 crystal.

a b c (Å): 13.942 4.436 7.076
angles (deg): 90.00 116.20 90.00
Space group C2/m (No. 12)
Symmetry-distinct sites (fractional):
Zr 0.000 0.000 0.000
Al 0.220 0.500 0.665
Au 0.043 0.500 0.739
Au 0.109 0.000 0.463
Au 0.153 0.500 0.229
Au 0.180 0.000 0.913

Number 1: VASP energy -5.15 eV per atom, D(E_F) 3.1 states/eV/f.u., ΔH_f (0 K) -434.8 meV per atom. Number 2: VASP energy -5.35 eV per atom, D(E_F) 3.1 states/eV/f.u., ΔH_f (0 K) -483.3 meV per atom. Number 3: VASP energy -5.08 eV per atom, D(E_F) 3.7 states/eV/f.u., ΔH_f (0 K) -368.7 meV per atom. Number 4: VASP energy -4.14 eV per atom, D(E_F) 4.1 states/eV/f.u., ΔH_f (0 K) -297.8 meV per atom.